Computed, not measured: a geometry-optimized HoMg2Hg structure at the PBE level of DFT.

## Properties
- Formation energy: -0.243 eV per atom
- Calculated density: 7.15 g/cm³
- DOS(E_F): 2.56 states/eV/f.u.
- Magnetization: 0.00 μB per cell
- SG: Cmcm (63)
- VASP energy: -0.08306 Ha/atom
- Calculated volume: 24.05 A^3/atom

Lattice parameters (Å, degrees): 11.2730 11.2730 4.9546 90.00 90.00 162.21
Element x y z (fractional)
Ho (0.1042, 0.8958, 0.7500)
Ho (0.8958, 0.1042, 0.2500)
Mg (0.2654, 0.7346, 0.2500)
Mg (0.4687, 0.5313, 0.7500)
Mg (0.5313, 0.4687, 0.2500)
Mg (0.7346, 0.2654, 0.7500)
Hg (0.3418, 0.6582, 0.7500)
Hg (0.6582, 0.3418, 0.2500)

---

Computed, not measured: a geometry-optimized HoMg5Hg6 structure at the PBE level of DFT.

## Properties
- Formation energy: -0.284 eV per atom
- Calculated density: 9.37 g/cm³
- DOS(E_F): 4.25 states/eV/f.u.
- Magnetization: 0.00 μB per cell
- SG: P2/m (10)
- VASP energy: -0.05442 Ha/atom
- Calculated volume: 22.00 A^3/atom

Lattice parameters (Å, degrees): 4.8932 7.3416 7.7466 90.00 108.46 90.00
Element x y z (fractional)
Ho (0.0000, 0.0000, 0.0000)
Mg (0.0000, 0.5000, 0.0000)
Mg (0.3355, 0.0000, 0.6657)
Mg (0.3354, 0.5000, 0.6636)
Mg (0.6645, 0.0000, 0.3343)
Mg (0.6646, 0.5000, 0.3364)
Hg (0.1678, 0.2498, 0.3398)
Hg (0.1678, 0.7502, 0.3398)
Hg (0.5000, 0.2634, 0.0000)
Hg (0.5000, 0.7366, 0.0000)
Hg (0.8322, 0.2498, 0.6602)
Hg (0.8322, 0.7502, 0.6602)

---

Computed, not measured: a geometry-optimized Ho4MgHg2 structure at the PBE level of DFT.

## Properties
- Formation energy: -0.061 eV per atom
- Calculated density: 8.71 g/cm³
- DOS(E_F): 12.00 states/eV/f.u.
- Magnetization: 0.00 μB per cell
- SG: R-3m (166)
- VASP energy: -0.10991 Ha/atom
- Calculated volume: 29.54 A^3/atom

Lattice parameters (Å, degrees): 9.2678 9.2678 9.2678 32.71 32.71 32.71
Element x y z (fractional)
Ho (0.1260, 0.1260, 0.1260)
Ho (0.2831, 0.2831, 0.2831)
Ho (0.7169, 0.7169, 0.7169)
Ho (0.8740, 0.8740, 0.8740)
Mg (0.5000, 0.5000, 0.5000)
Hg (0.3978, 0.3978, 0.3978)
Hg (0.6022, 0.6022, 0.6022)

---

Computed, not measured: a geometry-optimized HoMg2Hg structure at the PBE level of DFT.

## Properties
- Formation energy: -0.119 eV per atom
- Calculated density: 7.59 g/cm³
- DOS(E_F): 2.35 states/eV/f.u.
- Magnetization: 0.00 μB per cell
- SG: Fm-3m (225)
- VASP energy: -0.07852 Ha/atom
- Calculated volume: 22.66 A^3/atom

Lattice parameters (Å, degrees): 5.0425 5.0425 5.0425 60.00 60.00 60.00
Element x y z (fractional)
Ho (0.0000, 0.0000, 0.0000)
Mg (0.2500, 0.2500, 0.2500)
Mg (0.7500, 0.7500, 0.7500)
Hg (0.5000, 0.5000, 0.5000)